Density functional theory data (PBE) for a relaxed structure of ZnCdHgSb.

a b c (Å): 5.1303 5.1303 5.1303
angles (deg): 60.00 60.00 60.00
Atoms (fractional coordinates):
1 Cd 0.7500 0.7500 0.7500
2 Hg 0.5000 0.5000 0.5000
3 Sb 0.0000 0.0000 0.0000
4 Zn 0.2500 0.2500 0.2500

The value obtained for the volume is 95.48 Å³/cell. Its raw formation energy is 0.17 eV per atom. Its density is 8.70 Mg/m³. The total energy comes out at -6.0 eV/cell. The value obtained for the density of states at the Fermi level is 2.58 states/eV per cell.